Entry 1:
Computed, not measured: crystalline Ta3SnB2 at its relaxed geometry at the GGA-PBE level of DFT.

abc: 3.2849 3.2849 19.2184
angles: 90.00 90.00 120.00
With the nearest neighbours (Å) after each atom.
Positions (direct):
1 Ta 0.0000 0.0000 0.0000  6 B 2.32
2 Ta 0.0000 0.0000 0.5000  6 B 2.32
3 Ta 0.3333 0.6667 0.1309  3 B 2.23
4 Ta 0.3333 0.6667 0.3691  3 B 2.23
5 Ta 0.6667 0.3333 0.6309  3 B 2.23
6 Ta 0.6667 0.3333 0.8691  3 B 2.23
7 Sn 0.0000 0.0000 0.2500  6 Ta 2.97, 6 Sn 3.28
8 Sn 0.0000 0.0000 0.7500  6 Ta 2.97, 6 Sn 3.28
9 B 0.3333 0.6667 0.5694  6 Ta 2.23-2.32
10 B 0.3333 0.6667 0.9306  6 Ta 2.23-2.32
11 B 0.6667 0.3333 0.0694  6 Ta 2.23-2.32
12 B 0.6667 0.3333 0.4306  6 Ta 2.23-2.32

Values from the calculation:
For the mass density, the calculation gives 12.633 g cm⁻³. For the size of the total moment, the calculation gives 0.00 μB per cell. For the calculated total energy, the calculation gives -9.3187 eV per atom.

=====

Entry 2:
Computed, not measured: crystalline TbSnB at its relaxed geometry at the GGA-PBE level of DFT.

abc: 4.3953 4.3953 4.3953
angles: 60.00 60.00 60.00
With the nearest neighbours (Å) after each atom.
Positions (direct):
1 Tb 0.0000 0.0000 0.0000  4 B 2.69
2 Sn 0.5000 0.5000 0.5000  4 B 2.69
3 B 0.7500 0.7500 0.7500  4 Tb 2.69, 4 Sn 2.69

Values from the calculation:
For the mass density, the calculation gives 7.977 g cm⁻³. For the size of the total moment, the calculation gives 0.00 μB per cell. As for the energy above the most stable polymorph in this dataset: 0.0 kJ/mol of atoms. For the calculated total energy, the calculation gives -4.9731 eV per atom.

=====

Entry 3:
Computed, not measured: crystalline TbSnB at its relaxed geometry at the GGA-PBE level of DFT.

abc: 4.6643 4.6643 4.6643
angles: 60.00 60.00 60.00
With the nearest neighbours (Å) after each atom.
Positions (direct):
1 Tb 0.0000 0.0000 0.0000  4 Sn 2.86
2 Sn 0.7500 0.7500 0.7500  4 B 2.86, 4 Tb 2.86
3 B 0.5000 0.5000 0.5000  4 Sn 2.86

Values from the calculation:
For the mass density, the calculation gives 6.675 g cm⁻³. For the size of the total moment, the calculation gives 0.00 μB per cell. As for the energy above the most stable polymorph in this dataset: 78.0 kJ/mol of atoms. For the calculated total energy, the calculation gives -4.1647 eV per atom.

=====

Entry 4:
Computed, not measured: crystalline TcSnB4 at its relaxed geometry at the GGA-PBE level of DFT.

abc: 2.9865 2.9865 8.6576
angles: 90.00 90.00 120.00
With the nearest neighbours (Å) after each atom.
Positions (direct):
1 Tc 0.0000 0.0000 0.0000  12 B 2.40
2 Sn 0.0000 0.0000 0.5000  6 Sn 2.99, 12 B 3.17
3 B 0.3333 0.6667 0.1927  3 B 1.72
4 B 0.3333 0.6667 0.8073  3 B 1.72
5 B 0.6667 0.3333 0.1927  3 B 1.72
6 B 0.6667 0.3333 0.8073  3 B 1.72

Values from the calculation:
For the mass density, the calculation gives 6.455 g cm⁻³. For the size of the total moment, the calculation gives 0.01 μB per cell. As for the energy above the most stable polymorph in this dataset: 0.0 kJ/mol of atoms. For the calculated total energy, the calculation gives -6.6211 eV per atom.

=====

Entry 5:
Computed, not measured: crystalline TcSnB4 at its relaxed geometry at the GGA-PBE level of DFT.

abc: 4.7719 4.7719 4.7719
angles: 142.43 111.39 80.95
With the nearest neighbours (Å) after each atom.
Positions (direct):
1 Tc 0.0000 0.0000 0.0000  12 B 2.52-2.58
2 Sn 0.5000 0.5000 0.0000  12 B 2.55
3 B 0.0833 0.7472 0.3361  3 B 1.76-1.79
4 B 0.4111 0.7472 0.6639  3 B 1.76-1.79
5 B 0.5889 0.2528 0.3361  3 B 1.76-1.79
6 B 0.9167 0.2528 0.6639  3 B 1.76-1.79

Values from the calculation:
For the mass density, the calculation gives 7.193 g cm⁻³. For the size of the total moment, the calculation gives 0.01 μB per cell. As for the energy above the most stable polymorph in this dataset: 19.7 kJ/mol of atoms. For the calculated total energy, the calculation gives -6.4168 eV per atom.

=====

Entry 6:
Computed, not measured: crystalline TcSnB2 at its relaxed geometry at the GGA-PBE level of DFT.

abc: 4.2452 4.2452 4.2452
angles: 60.00 60.00 60.00
With the nearest neighbours (Å) after each atom.
Positions (direct):
1 Tc 0.0000 0.0000 0.0000  4 Sn 2.60, 4 B 2.60
2 Sn 0.7500 0.7500 0.7500  4 B 2.60, 4 Tc 2.60
3 B 0.2500 0.2500 0.2500  4 B 2.60, 4 Tc 2.60
4 B 0.5000 0.5000 0.5000  4 Sn 2.60, 4 B 2.60

Values from the calculation:
For the mass density, the calculation gives 7.316 g cm⁻³. For the size of the total moment, the calculation gives 0.07 μB per cell. For the calculated total energy, the calculation gives -5.2301 eV per atom.